(1)
A plane-wave DFT calculation with PBE was carried out for an optimized crystal structure of TbPr6Tm8.

a = 9.0540 Å, b = 9.0540 Å, c = 20.9904 Å
α = 90.00°, β = 90.00°, γ = 120.00°
Space group R-3 (No. 148, hexagonal axes)
Symmetry-distinct sites (fractional):
Tb: 0.0000 0.0000 0.0000 [3 per cell]
Pr: 0.0616 0.8122 0.7119 [18 per cell]
Tm: 0.0000 0.0000 0.4235 [6 per cell]
Tm: 0.0803 0.5205 0.8072 [18 per cell]

Output
The calculation puts the density of states at the Fermi level at 22.07 states/eV/f.u. As for the energy: -4.48 eV/atom.



(2)
A plane-wave DFT calculation with PBE was carried out for an optimized crystal structure of U2SiTc.

a = 4.4828 Å, b = 4.4828 Å, c = 13.7026 Å
α = 90.00°, β = 90.00°, γ = 120.00°
Space group R-3m (No. 166, hexagonal axes)
Symmetry-distinct sites (fractional):
U: 0.0000 0.0000 0.2459 [6 per cell]
Si: 0.0000 0.0000 0.0000 [3 per cell]
Tc: 0.0000 0.0000 0.5000 [3 per cell]

Output
The calculation puts the density of states at the Fermi level at 9.93 states/eV/f.u. Its distance to the lowest polymorph of the same formula is 0.402 eV/atom. As for the uncorrected formation energy: 0.124 eV per atom. As for the energy: -9.47 eV/atom.



(3)
A plane-wave DFT calculation with PBE was carried out for an optimized crystal structure of DyGaAg2.

a = 4.1815 Å, b = 16.9508 Å, c = 9.4743 Å
α = 90.00°, β = 90.00°, γ = 90.00°
Space group Cmcm (No. 63)
Symmetry-distinct sites (fractional):
Dy: 0.0000 0.0000 0.0000 [4 per cell]
Dy: 0.0000 0.1884 0.2500 [4 per cell]
Ga: 0.0000 0.3640 0.5258 [8 per cell]
Ag: 0.0000 0.2037 0.5943 [8 per cell]
Ag: 0.0000 0.3865 0.2500 [4 per cell]
Ag: 0.0000 0.4538 0.7500 [4 per cell]

Output
The calculation puts the density of states at the Fermi level at 1.93 states/eV/f.u. Its distance to the lowest polymorph of the same formula is 0.022 eV/atom. As for the energy: -3.64 eV/atom.



(4)
A plane-wave DFT calculation with PBE was carried out for an optimized crystal structure of Dy5Cu4Ni.

a = 3.4329 Å, b = 3.4329 Å, c = 17.4306 Å
α = 90.00°, β = 90.00°, γ = 90.00°
Space group P4/mmm (No. 123)
Symmetry-distinct sites (fractional):
Dy: 0.0000 0.0000 0.0000 [1 per cell]
Dy: 0.0000 0.0000 0.2024 [2 per cell]
Dy: 0.0000 0.0000 0.4051 [2 per cell]
Cu: 0.5000 0.5000 0.1007 [2 per cell]
Cu: 0.5000 0.5000 0.3028 [2 per cell]
Ni: 0.5000 0.5000 0.5000 [1 per cell]

Output
The calculation puts the density of states at the Fermi level at 6.48 states/eV/f.u. As for the energy: -4.80 eV/atom.



(5)
A plane-wave DFT calculation with PBE was carried out for an optimized crystal structure of Ba6Bi2Te3O18.

a = 6.0714 Å, b = 8.6178 Å, c = 18.2710 Å
α = 90.00°, β = 90.00°, γ = 90.00°
Space group Immm (No. 71)
Symmetry-distinct sites (fractional):
Ba: 0.0000 0.2225 0.0000 [4 per cell]
Ba: 0.0000 0.2671 0.3467 [8 per cell]
Bi: 0.0000 0.5000 0.1663 [4 per cell]
Te: 0.0000 0.0000 0.1686 [4 per cell]
Te: 0.0000 0.0000 0.5000 [2 per cell]
O: 0.0000 0.2222 0.5000 [4 per cell]
O: 0.0000 0.2311 0.1683 [8 per cell]
O: 0.2254 0.0000 0.0942 [8 per cell]
O: 0.2298 0.0000 0.2446 [8 per cell]
O: 0.2308 0.0000 0.4226 [8 per cell]

Output
The calculation puts the density of states at the Fermi level at 0.00 states/eV/f.u. As for the uncorrected formation energy: -1.945 eV per atom. As for the energy: -6.01 eV/atom.



(6)
A plane-wave DFT calculation with PBE was carried out for an optimized crystal structure of ZrRuCl4.

a = 7.9379 Å, b = 7.9379 Å, c = 7.9379 Å
α = 90.00°, β = 90.00°, γ = 90.00°
Space group F-43m (No. 216)
Symmetry-distinct sites (fractional):
Zr: 0.0000 0.0000 0.0000 [4 per cell]
Ru: 0.2500 0.2500 0.2500 [4 per cell]
Cl: 0.1247 0.1247 0.6247 [16 per cell]

Output
The calculation puts the density of states at the Fermi level at 8.10 states/eV/f.u. As for the uncorrected formation energy: 0.827 eV per atom. As for the energy: -3.37 eV/atom.



(7)
A plane-wave DFT calculation with PBE was carried out for an optimized crystal structure of KTi2SbO6.

a = 11.4596 Å, b = 10.2708 Å, c = 6.2495 Å
α = 90.00°, β = 108.59°, γ = 90.00°
Space group C2/c (No. 15)
Symmetry-distinct sites (fractional):
K: 0.0000 0.0994 0.2500 [4 per cell]
Ti: 0.2320 0.4055 0.2229 [8 per cell]
Sb: 0.0000 0.2958 0.7500 [4 per cell]
O: 0.1081 0.1579 0.6849 [8 per cell]
O: 0.1198 0.2840 0.1058 [8 per cell]
O: 0.2169 0.4806 0.4873 [8 per cell]

Output
The calculation puts the density of states at the Fermi level at 0.00 states/eV/f.u. As for the uncorrected formation energy: -2.446 eV per atom. As for the energy: -7.52 eV/atom.



(8)
A plane-wave DFT calculation with PBE was carried out for an optimized crystal structure of Zn2AgPb2.

a = 8.2202 Å, b = 8.2202 Å, c = 3.6270 Å
α = 90.00°, β = 90.00°, γ = 90.00°
Space group P4/mbm (No. 127)
Symmetry-distinct sites (fractional):
Zn: 0.1106 0.3894 0.0000 [4 per cell]
Ag: 0.0000 0.0000 0.5000 [2 per cell]
Pb: 0.1941 0.6941 0.5000 [4 per cell]

Output
The calculation puts the density of states at the Fermi level at 1.36 states/eV/f.u. Its distance to the lowest polymorph of the same formula is 0.133 eV/atom. As for the energy: -2.32 eV/atom.



(9)
A plane-wave DFT calculation with PBE was carried out for an optimized crystal structure of Ce2Sm6Ho3Tm.

a = 6.1900 Å, b = 10.7221 Å, c = 11.8303 Å
α = 90.00°, β = 100.08°, γ = 90.00°
Space group C2/m (No. 12)
Symmetry-distinct sites (fractional):
Ce: 0.0000 0.1665 0.0000 [4 per cell]
Sm: 0.2488 0.0000 0.2496 [4 per cell]
Sm: 0.2490 0.1674 0.7509 [8 per cell]
Ho: 0.0000 0.0000 0.5000 [2 per cell]
Ho: 0.0000 0.3338 0.5000 [4 per cell]
Tm: 0.0000 0.5000 0.0000 [2 per cell]

Output
The calculation puts the density of states at the Fermi level at 22.89 states/eV/f.u. As for the energy: -4.81 eV/atom.



(10)
A plane-wave DFT calculation with PBE was carried out for an optimized crystal structure of YAlP3.

a = 4.1696 Å, b = 4.1696 Å, c = 15.2907 Å
α = 90.00°, β = 90.00°, γ = 120.00°
Space group P6_3/mmc (No. 194)
Symmetry-distinct sites (fractional):
Y: 0.0000 0.0000 0.0000 [2 per cell]
Al: 0.3333 0.6667 0.2500 [2 per cell]
P: 0.0000 0.0000 0.2500 [2 per cell]
P: 0.3333 0.6667 0.0940 [4 per cell]

Output
The calculation puts the density of states at the Fermi level at 3.18 states/eV/f.u. Its distance to the lowest polymorph of the same formula is 0.000 eV/atom. As for the energy: -5.58 eV/atom.



(11)
A plane-wave DFT calculation with PBE was carried out for an optimized crystal structure of Cs3Mg2Cl8.

a = 7.5280 Å, b = 7.5280 Å, c = 28.8917 Å
α = 90.00°, β = 90.00°, γ = 120.00°
Space group R-3m (No. 166, hexagonal axes)
Symmetry-distinct sites (fractional):
Cs: 0.0000 0.0000 0.0000 [3 per cell]
Cs: 0.0000 0.0000 0.2056 [6 per cell]
Mg: 0.0000 0.0000 0.4082 [6 per cell]
Cl: 0.0000 0.0000 0.3270 [6 per cell]
Cl: 0.0040 0.5020 0.7696 [18 per cell]

Output
The calculation puts the density of states at the Fermi level at 24.62 states/eV/f.u. As for the uncorrected formation energy: -1.721 eV per atom. As for the energy: -3.30 eV/atom.



(12)
A plane-wave DFT calculation with PBE was carried out for an optimized crystal structure of K2YHoS4.

a = 7.0071 Å, b = 4.0453 Å, c = 7.7285 Å
α = 90.00°, β = 107.58°, γ = 90.00°
Space group P2/m (No. 10)
Symmetry-distinct sites (fractional):
K: 0.0000 0.0000 0.0000 [1 per cell]
K: 0.5000 0.5000 0.0000 [1 per cell]
Y: 0.0000 0.5000 0.5000 [1 per cell]
Ho: 0.5000 0.0000 0.5000 [1 per cell]
S: 0.2352 0.0000 0.7018 [2 per cell]
S: 0.2677 0.5000 0.2988 [2 per cell]

Output
The calculation puts the density of states at the Fermi level at 0.00 states/eV/f.u. As for the uncorrected formation energy: -1.892 eV per atom. As for the energy: -5.61 eV/atom.



(13)
A plane-wave DFT calculation with PBE was carried out for an optimized crystal structure of CdRe2Ag.

a = 3.0098 Å, b = 4.5226 Å, c = 9.8338 Å
α = 90.00°, β = 90.00°, γ = 90.00°
Space group Cmmm (No. 65)
Symmetry-distinct sites (fractional):
Cd: 0.0000 0.0000 0.0000 [2 per cell]
Re: 0.0000 0.5000 0.2520 [4 per cell]
Ag: 0.0000 0.0000 0.5000 [2 per cell]

Output
The calculation puts the density of states at the Fermi level at 3.50 states/eV/f.u. As for the energy: -6.44 eV/atom.



(14)
A plane-wave DFT calculation with PBE was carried out for an optimized crystal structure of CdNi.

a = 12.1474 Å, b = 12.1474 Å, c = 12.1474 Å
α = 90.00°, β = 90.00°, γ = 90.00°
Space group Fd-3m (No. 227, origin choice 2)
Symmetry-distinct sites (fractional):
Cd: 0.1113 0.3750 0.3750 [48 per cell]
Ni: 0.0000 0.0000 0.0000 [16 per cell]
Ni: 0.0535 0.0535 0.6965 [32 per cell]

Output
The calculation puts the density of states at the Fermi level at 0.94 states/eV/f.u. As for the energy: -2.97 eV/atom.



(15)
A plane-wave DFT calculation with PBE was carried out for an optimized crystal structure of Pm7Y4Er.

a = 12.0839 Å, b = 6.0329 Å, c = 12.7543 Å
α = 90.00°, β = 117.55°, γ = 90.00°
Space group C2/m (No. 12)
Symmetry-distinct sites (fractional):
Pm: 0.0000 0.0000 0.0000 [2 per cell]
Pm: 0.1303 0.5000 0.4998 [4 per cell]
Pm: 0.2115 0.0000 0.9223 [4 per cell]
Pm: 0.2464 0.0000 0.6833 [4 per cell]
Y: 0.0617 0.0000 0.3218 [4 per cell]
Y: 0.1337 0.5000 0.7765 [4 per cell]
Er: 0.0000 0.5000 0.0000 [2 per cell]

Output
The calculation puts the density of states at the Fermi level at 18.00 states/eV/f.u. Its distance to the lowest polymorph of the same formula is 0.254 eV/atom. As for the energy: -5.05 eV/atom.



(16)
A plane-wave DFT calculation with PBE was carried out for an optimized crystal structure of LaNp2Pt9.

a = 5.4274 Å, b = 5.4274 Å, c = 26.7331 Å
α = 90.00°, β = 90.00°, γ = 120.00°
Space group R-3m (No. 166, hexagonal axes)
Symmetry-distinct sites (fractional):
La: 0.0000 0.0000 0.0000 [3 per cell]
Np: 0.0000 0.0000 0.1433 [6 per cell]
Pt: 0.0000 0.0000 0.3327 [6 per cell]
Pt: 0.0000 0.0000 0.5000 [3 per cell]
Pt: 0.0039 0.5019 0.9143 [18 per cell]

Output
The calculation puts the density of states at the Fermi level at 22.68 states/eV/f.u. As for the energy: -7.81 eV/atom.



(17)
A plane-wave DFT calculation with PBE was carried out for an optimized crystal structure of EuGd2Hf.

a = 3.4700 Å, b = 3.4700 Å, c = 10.2996 Å
α = 90.00°, β = 90.00°, γ = 90.00°
Space group P4/mmm (No. 123)
Symmetry-distinct sites (fractional):
Eu: 0.0000 0.0000 0.0000 [1 per cell]
Gd: 0.5000 0.5000 0.2861 [2 per cell]
Hf: 0.0000 0.0000 0.5000 [1 per cell]

Output
The calculation puts the density of states at the Fermi level at 5.33 states/eV/f.u. As for the energy: -11.97 eV/atom.



(18)
A plane-wave DFT calculation with PBE was carried out for an optimized crystal structure of GdPaTlAu.

a = 7.4492 Å, b = 7.4492 Å, c = 7.4492 Å
α = 90.00°, β = 90.00°, γ = 90.00°
Space group F-43m (No. 216)
Symmetry-distinct sites (fractional):
Gd: 0.0000 0.0000 0.0000 [4 per cell]
Pa: 0.0000 0.0000 0.5000 [4 per cell]
Tl: 0.2500 0.2500 0.7500 [4 per cell]
Au: 0.2500 0.2500 0.2500 [4 per cell]

Output
The calculation puts the density of states at the Fermi level at 8.84 states/eV/f.u. As for the energy: -7.47 eV/atom.



(19)
A plane-wave DFT calculation with PBE was carried out for an optimized crystal structure of LaPm2Nd4Th.

a = 6.3313 Å, b = 3.6676 Å, c = 12.2148 Å
α = 90.00°, β = 100.06°, γ = 90.00°
Space group P2/m (No. 10)
Symmetry-distinct sites (fractional):
La: 0.0000 0.0000 0.0000 [1 per cell]
Pm: 0.5000 0.0000 0.5000 [1 per cell]
Pm: 0.5000 0.5000 0.0000 [1 per cell]
Nd: 0.2414 0.0000 0.7435 [2 per cell]
Nd: 0.2485 0.5000 0.2530 [2 per cell]
Th: 0.0000 0.5000 0.5000 [1 per cell]

Output
The calculation puts the density of states at the Fermi level at 13.75 states/eV/f.u. As for the energy: -5.08 eV/atom.



(20)
A plane-wave DFT calculation with PBE was carried out for an optimized crystal structure of PmGa2Cu6.

a = 10.9875 Å, b = 10.9875 Å, c = 10.9875 Å
α = 90.00°, β = 90.00°, γ = 90.00°
Space group Fd-3m (No. 227, origin choice 2)
Symmetry-distinct sites (fractional):
Pm: 0.1250 0.1250 0.1250 [8 per cell]
Ga: 0.0000 0.0000 0.5000 [16 per cell]
Cu: 0.1228 0.3750 0.8750 [48 per cell]

Output
The calculation puts the density of states at the Fermi level at 5.43 states/eV/f.u. Its distance to the lowest polymorph of the same formula is 0.513 eV/atom. As for the energy: -3.63 eV/atom.